[1]
Here is a relaxed structure of CeNpGa2 from Alexandria via LeMat-Bulk. Energies are from PBE.

Calculated values
N(E_F) ... 2.892 states/eV/atom
Energy relative to the lowest polymorph listed for this composition ... 45 meV/atom
Total magnetic moment ... 4.9 μB/f.u.
Formation enthalpy at 0 K ... -0.200 eV per atom

Cell lengths 4.497, 4.497, 4.351 Å; angles 90.00, 90.00, 90.00 degrees
Space group P4/mmm (No. 123)
One atom of each set of equivalent atoms:
Ce (0.000, 0.000, 0.000) (multiplicity 1)
Np (0.500, 0.500, 0.000) (multiplicity 1)
Ga (0.000, 0.500, 0.500) (multiplicity 2)

=====

[2]
Here is a relaxed structure of CeNpGa2O8 from Alexandria via LeMat-Bulk. Energies are from PBE.

Calculated values
N(E_F) ... 0.171 states/eV/atom
E_form (uncorrected) ... -2.44 eV per atom
Total magnetic moment ... 1.1 μB/f.u.

Cell lengths 7.092, 6.377, 7.177 Å; angles 90.00, 97.12, 90.00 degrees
Space group C2/m (No. 12)
One atom of each set of equivalent atoms:
Ce (0.000, 0.000, 0.000) (multiplicity 2)
Np (0.000, 0.000, 0.500) (multiplicity 2)
Ga (0.044, 0.500, 0.209) (multiplicity 4)
O (0.005, 0.209, 0.260) (multiplicity 8)
O (0.183, 0.500, 0.995) (multiplicity 4)
O (0.227, 0.500, 0.447) (multiplicity 4)